[1]
First-principles (GGA-PBE) data for a relaxed NaHN3 crystal, as listed in the Alexandria database.

POSCAR file:
```
NaHN3
1.0
4.555 0.000 0.000
0.000 4.555 0.000
0.000 0.000 4.555
Na H N
1 1 3
Direct
0.000 0.000 0.000 Na
0.500 0.500 0.500 H
0.000 0.000 0.500 N
0.000 0.500 0.000 N
0.500 0.000 0.000 N
```

Computed properties:
SG	Pm-3m (221)
DFT total energy	-2.82	eV per atom



[2]
First-principles (GGA-PBE) data for a relaxed Na2H5N crystal, as listed in the Alexandria database.

POSCAR file:
```
Na2H5N
1.0
3.908 0.000 0.000
0.017 4.506 0.000
1.760 0.430 5.565
Na H N
2 5 1
Direct
0.000 0.000 0.000 Na
0.395 0.476 0.241 Na
0.027 0.502 0.950 H
0.409 0.985 0.198 H
0.437 0.565 0.695 H
0.719 0.809 0.507 H
0.854 0.562 0.685 H
0.693 0.590 0.572 N
```

Computed properties:
SG	P1 (1)
DFT total energy	-3.70	eV per atom



[3]
First-principles (GGA-PBE) data for a relaxed NaH2N crystal, as listed in the Alexandria database.

POSCAR file:
```
NaH2N
1.0
3.391 0.000 0.000
0.000 2.513 0.000
-0.011 0.000 3.780
Na H N
1 2 1
Direct
0.000 0.000 0.000 Na
0.331 0.500 0.501 H
0.669 0.500 0.499 H
0.500 0.000 0.500 N
```

Computed properties:
SG	P2/m (10)
ΔE to the lowest computed polymorph	854	meV per atom
DFT total energy	-3.61	eV per atom



[4]
First-principles (GGA-PBE) data for a relaxed Na2H6N crystal, as listed in the Alexandria database.

POSCAR file:
```
Na2H6N
1.0
0.000 3.424 3.424
3.424 0.000 3.424
3.424 3.424 0.000
Na H N
2 6 1
Direct
0.250 0.250 0.250 Na
0.750 0.750 0.750 Na
0.205 0.205 0.795 H
0.205 0.795 0.205 H
0.205 0.795 0.795 H
0.795 0.205 0.205 H
0.795 0.205 0.795 H
0.795 0.795 0.205 H
0.000 0.000 0.000 N
```

Computed properties:
SG	Fm-3m (225)
DFT total energy	-2.77	eV per atom



[5]
First-principles (GGA-PBE) data for a relaxed Na2NiHN crystal, as listed in the Alexandria database.

POSCAR file:
```
Na2NiHN
1.0
3.471 0.000 0.000
0.000 3.898 0.000
0.000 0.000 11.540
Na Ni H N
4 2 2 2
Direct
0.000 0.000 0.000 Na
0.000 0.000 0.267 Na
0.500 0.500 0.500 Na
0.500 0.500 0.767 Na
0.000 0.000 0.645 Ni
0.500 0.500 0.145 Ni
0.000 0.000 0.786 H
0.500 0.500 0.286 H
0.000 0.500 0.127 N
0.500 0.000 0.627 N
```

Computed properties:
SG	Imm2 (44)
DFT total energy	-4.03	eV per atom



[6]
First-principles (GGA-PBE) data for a relaxed NaNiH2N crystal, as listed in the Alexandria database.

POSCAR file:
```
NaNiH2N
1.0
3.244 0.000 0.000
0.000 3.244 0.000
0.000 0.000 4.551
Na Ni H N
1 1 2 1
Direct
0.000 0.000 0.000 Na
0.500 0.500 0.000 Ni
0.000 0.500 0.500 H
0.500 0.000 0.500 H
0.000 0.000 0.500 N
```

Computed properties:
SG	P4/mmm (123)
DFT total energy	-3.01	eV per atom



[7]
First-principles (GGA-PBE) data for a relaxed NaH4NO crystal, as listed in the Alexandria database.

POSCAR file:
```
NaH4NO
1.0
3.573 -2.136 0.000
3.573 2.136 0.000
-2.219 0.000 8.878
Na H N O
2 8 2 2
Direct
0.138 0.138 0.390 Na
0.862 0.862 0.610 Na
0.169 0.555 0.197 H
0.321 0.321 0.729 H
0.368 0.368 0.038 H
0.445 0.831 0.803 H
0.555 0.169 0.197 H
0.632 0.632 0.962 H
0.679 0.679 0.271 H
0.831 0.445 0.803 H
0.417 0.417 0.153 N
0.583 0.583 0.847 N
0.200 0.200 0.649 O
0.800 0.800 0.351 O
```

Computed properties:
SG	C2/m (12)
DFT total energy	-4.76	eV per atom



[8]
First-principles (GGA-PBE) data for a relaxed NaH6N2O crystal, as listed in the Alexandria database.

POSCAR file:
```
NaH6N2O
1.0
3.166 -5.313 0.000
3.166 5.313 0.000
-1.123 0.000 5.114
Na H N O
2 12 4 2
Direct
0.064 0.936 0.750 Na
0.936 0.064 0.250 Na
0.050 0.626 0.313 H
0.207 0.427 0.866 H
0.210 0.471 0.561 H
0.374 0.950 0.187 H
0.427 0.207 0.366 H
0.471 0.210 0.061 H
0.529 0.790 0.939 H
0.573 0.793 0.634 H
0.626 0.050 0.813 H
0.790 0.529 0.439 H
0.793 0.573 0.134 H
0.950 0.374 0.687 H
0.105 0.351 0.677 N
0.351 0.105 0.177 N
0.649 0.895 0.823 N
0.895 0.649 0.323 N
0.359 0.641 0.250 O
0.641 0.359 0.750 O
```

Computed properties:
SG	C2/c (15)
DFT total energy	-4.65	eV per atom



[9]
First-principles (GGA-PBE) data for a relaxed Na4P4H10N4O11 crystal, as listed in the Alexandria database.

POSCAR file:
```
Na4P4H10N4O11
1.0
8.532 0.000 0.000
0.285 8.598 0.000
2.488 1.042 9.736
Na P H N O
8 8 20 8 22
Direct
0.024 0.118 0.111 Na
0.336 0.881 0.944 Na
0.404 0.575 0.396 Na
0.455 0.176 0.410 Na
0.545 0.824 0.590 Na
0.596 0.425 0.604 Na
0.664 0.119 0.056 Na
0.976 0.882 0.889 Na
0.115 0.762 0.276 P
0.135 0.411 0.260 P
0.216 0.587 0.756 P
0.222 0.234 0.764 P
0.778 0.766 0.236 P
0.784 0.413 0.244 P
0.865 0.589 0.740 P
0.885 0.238 0.724 P
0.099 0.653 0.571 H
0.128 0.288 0.566 H
0.176 0.619 0.090 H
0.177 0.392 0.941 H
0.205 0.021 0.589 H
0.244 0.890 0.487 H
0.348 0.987 0.214 H
0.377 0.315 0.050 H
0.490 0.599 0.069 H
0.499 0.920 0.267 H
0.501 0.080 0.733 H
0.510 0.401 0.931 H
0.623 0.685 0.950 H
0.652 0.013 0.786 H
0.756 0.110 0.513 H
0.795 0.979 0.411 H
0.823 0.608 0.059 H
0.824 0.381 0.910 H
0.872 0.712 0.434 H
0.901 0.347 0.429 H
0.065 0.609 0.673 N
0.089 0.230 0.664 N
0.169 0.601 0.194 N
0.195 0.403 0.836 N
0.805 0.597 0.164 N
0.831 0.399 0.806 N
0.911 0.770 0.336 N
0.935 0.391 0.327 N
0.171 0.901 0.170 O
0.177 0.103 0.880 O
0.183 0.746 0.403 O
0.184 0.322 0.134 O
0.191 0.694 0.868 O
0.220 0.374 0.375 O
0.294 0.958 0.539 O
0.371 0.600 0.642 O
0.388 0.230 0.665 O
0.453 0.018 0.229 O
0.493 0.311 0.000 O
0.507 0.689 0.000 O
0.547 0.982 0.771 O
0.612 0.770 0.335 O
0.629 0.400 0.358 O
0.706 0.042 0.461 O
0.780 0.626 0.625 O
0.809 0.306 0.132 O
0.816 0.678 0.866 O
0.817 0.254 0.597 O
0.823 0.897 0.120 O
0.829 0.099 0.830 O
```

Computed properties:
SG	P-1 (2)
DFT total energy	-5.89	eV per atom



[10]
First-principles (GGA-PBE) data for a relaxed NaP3H10N2O10 crystal, as listed in the Alexandria database.

POSCAR file:
```
NaP3H10N2O10
1.0
6.920 0.000 0.000
0.000 11.711 0.000
-3.781 0.000 13.331
Na P H N O
4 12 40 8 40
Direct
0.135 0.204 0.217 Na
0.135 0.296 0.717 Na
0.865 0.704 0.283 Na
0.865 0.796 0.783 Na
0.173 0.038 0.851 P
0.173 0.462 0.351 P
0.224 0.246 0.981 P
0.224 0.254 0.481 P
0.414 0.669 0.362 P
0.414 0.831 0.862 P
0.586 0.169 0.138 P
0.586 0.331 0.638 P
0.776 0.746 0.519 P
0.776 0.754 0.019 P
0.827 0.538 0.649 P
0.827 0.962 0.149 P
0.060 0.601 0.938 H
0.060 0.899 0.438 H
0.165 0.024 0.406 H
0.165 0.476 0.906 H
0.232 0.561 0.659 H
0.232 0.939 0.159 H
0.261 0.607 0.895 H
0.261 0.893 0.395 H
0.265 0.664 0.580 H
0.265 0.836 0.080 H
0.282 0.548 0.011 H
0.282 0.693 0.703 H
0.282 0.807 0.203 H
0.282 0.952 0.511 H
0.333 0.045 0.665 H
0.333 0.455 0.165 H
0.468 0.620 0.671 H
0.468 0.880 0.171 H
0.470 0.560 0.184 H
0.470 0.940 0.684 H
0.530 0.060 0.316 H
0.530 0.440 0.816 H
0.532 0.120 0.829 H
0.532 0.380 0.329 H
0.667 0.545 0.835 H
0.667 0.955 0.335 H
0.718 0.048 0.489 H
0.718 0.193 0.797 H
0.718 0.307 0.297 H
0.718 0.452 0.989 H
0.735 0.164 0.920 H
0.735 0.336 0.420 H
0.739 0.107 0.605 H
0.739 0.393 0.105 H
0.768 0.061 0.841 H
0.768 0.439 0.341 H
0.835 0.524 0.094 H
0.835 0.976 0.594 H
0.940 0.101 0.562 H
0.940 0.399 0.062 H
0.190 0.558 0.937 N
0.190 0.942 0.437 N
0.312 0.635 0.652 N
0.312 0.865 0.152 N
0.688 0.135 0.848 N
0.688 0.365 0.348 N
0.810 0.058 0.563 N
0.810 0.442 0.063 N
0.030 0.014 0.193 O
0.030 0.486 0.693 O
0.114 0.223 0.556 O
0.114 0.277 0.056 O
0.159 0.115 0.946 O
0.159 0.385 0.446 O
0.207 0.179 0.391 O
0.207 0.321 0.891 O
0.239 0.746 0.313 O
0.239 0.754 0.813 O
0.271 0.104 0.784 O
0.271 0.396 0.284 O
0.329 0.559 0.411 O
0.329 0.941 0.911 O
0.409 0.504 0.131 O
0.409 0.996 0.631 O
0.447 0.132 0.198 O
0.447 0.368 0.698 O
0.466 0.231 0.034 O
0.466 0.269 0.534 O
0.534 0.731 0.466 O
0.534 0.769 0.966 O
0.553 0.632 0.302 O
0.553 0.868 0.802 O
0.591 0.004 0.369 O
0.591 0.496 0.869 O
0.671 0.059 0.089 O
0.671 0.441 0.589 O
0.729 0.604 0.716 O
0.729 0.896 0.216 O
0.761 0.246 0.187 O
0.761 0.254 0.687 O
0.793 0.679 0.109 O
0.793 0.821 0.609 O
0.841 0.615 0.554 O
0.841 0.885 0.054 O
0.886 0.723 0.944 O
0.886 0.777 0.444 O
0.970 0.514 0.307 O
0.970 0.986 0.807 O
```

Computed properties:
SG	P2_1/c (14)
DFT total energy	-5.93	eV per atom



[11]
First-principles (GGA-PBE) data for a relaxed NaPH3NO3 crystal, as listed in the Alexandria database.

POSCAR file:
```
NaPH3NO3
1.0
5.801 0.000 0.000
-2.901 5.024 0.000
0.000 0.000 6.171
Na P H N O
2 2 6 2 6
Direct
0.000 0.000 0.000 Na
0.000 0.000 0.500 Na
0.333 0.667 0.311 P
0.667 0.333 0.811 P
0.153 0.510 0.663 H
0.357 0.847 0.663 H
0.490 0.643 0.663 H
0.510 0.357 0.163 H
0.643 0.153 0.163 H
0.847 0.490 0.163 H
0.333 0.667 0.602 N
0.667 0.333 0.102 N
0.140 0.764 0.254 O
0.236 0.376 0.254 O
0.376 0.140 0.754 O
0.624 0.860 0.254 O
0.764 0.624 0.754 O
0.860 0.236 0.754 O
```

Computed properties:
SG	P6_3 (173)
DFT total energy	-5.89	eV per atom



[12]
First-principles (GGA-PBE) data for a relaxed NaH8SNO6 crystal, as listed in the Alexandria database.

POSCAR file:
```
NaH8SNO6
1.0
6.447 0.000 0.000
0.000 8.117 0.000
0.000 0.000 12.827
Na H S N O
4 32 4 4 24
Direct
0.081 0.231 0.486 Na
0.419 0.769 0.986 Na
0.581 0.269 0.514 Na
0.919 0.731 0.014 Na
0.001 0.728 0.337 H
0.124 0.605 0.821 H
0.133 0.096 0.085 H
0.146 0.073 0.217 H
0.159 0.476 0.909 H
0.214 0.765 0.194 H
0.228 0.411 0.649 H
0.243 0.759 0.658 H
0.257 0.241 0.158 H
0.272 0.589 0.149 H
0.286 0.235 0.694 H
0.341 0.524 0.409 H
0.354 0.927 0.717 H
0.367 0.904 0.585 H
0.376 0.395 0.321 H
0.499 0.272 0.837 H
0.501 0.772 0.663 H
0.624 0.895 0.179 H
0.633 0.404 0.915 H
0.646 0.427 0.783 H
0.659 0.024 0.091 H
0.714 0.735 0.806 H
0.728 0.089 0.351 H
0.743 0.741 0.342 H
0.757 0.259 0.842 H
0.772 0.911 0.851 H
0.786 0.265 0.306 H
0.841 0.976 0.591 H
0.854 0.573 0.283 H
0.867 0.596 0.415 H
0.876 0.105 0.679 H
0.999 0.228 0.163 H
0.125 0.110 0.880 S
0.375 0.890 0.380 S
0.625 0.390 0.120 S
0.875 0.610 0.620 S
0.133 0.158 0.156 N
0.367 0.842 0.656 N
0.633 0.342 0.844 N
0.867 0.658 0.344 N
0.075 0.587 0.680 O
0.121 0.272 0.933 O
0.147 0.976 0.959 O
0.166 0.597 0.894 O
0.197 0.896 0.304 O
0.200 0.693 0.132 O
0.300 0.307 0.632 O
0.303 0.104 0.804 O
0.334 0.403 0.394 O
0.353 0.024 0.459 O
0.379 0.728 0.433 O
0.425 0.413 0.180 O
0.575 0.913 0.320 O
0.621 0.228 0.067 O
0.647 0.524 0.041 O
0.666 0.903 0.106 O
0.697 0.604 0.696 O
0.700 0.807 0.868 O
0.800 0.193 0.368 O
0.803 0.396 0.196 O
0.834 0.097 0.606 O
0.853 0.476 0.541 O
0.879 0.772 0.567 O
0.925 0.087 0.820 O
```

Computed properties:
SG	P2_12_12_1 (19)
DFT total energy	-5.27	eV per atom



| no. | total moment (μB per formula unit) |
| --- | --- |
| 1 | 7.0 |
| 2 | 0.0 |
| 3 | 0.0 |
| 4 | 0.0 |
| 5 | 0.0 |
| 6 | 0.1 |
| 7 | 0.1 |
| 8 | 1.0 |
| 9 | 0.0 |
| 10 | 0.0 |
| 11 | 0.0 |
| 12 | 0.2 |